A plane-wave DFT calculation with PBE was carried out for a geometry-optimized BaAsP2O structure.

Computed properties:
* mass density: 4.60 g/cm³
* size of the total moment: 0.907 Bohr magnetons per cell
* ΔE_f (raw): -0.235 eV per atom
* distance to the lowest polymorph of the same formula: 0.000 eV/atom
* space-group type: P4/mmm
* DOS at the Fermi energy: 4.7 states/eV/f.u.

a b c (Å): 4.920 4.920 4.324
angles (deg): 90.00 90.00 90.00
Fractional coordinates of all 5 atoms:
Ba 0.000 0.000 0.000
As 0.500 0.500 0.500
P 0.000 0.500 0.500
P 0.500 0.000 0.500
O 0.500 0.500 0.000